Entry 1:
4
Lattice="0.000 3.790 3.790 3.790 0.000 3.790 3.790 3.790 0.000" Properties=species:S:1:pos:R:3 comment="NdTlInHg, optimized geometry, DFT PBE-GGA" space_group="F-43m (216)" delta_e_f_kj_per_mol_fu=-100 e_tot_ev_per_atom=-2.8031 e_above_lowest_polymorph_ev_per_fu=0.44 pbc="T T T"
Nd 0.000 0.000 0.000
Tl 1.895 1.895 1.895
In 3.790 3.790 3.790
Hg 5.685 5.685 5.685

---

Entry 2:
8
Lattice="4.613 -4.621 0.000 4.613 4.621 0.000 -4.588 0.000 4.815" Properties=species:S:1:pos:R:3 comment="Sr2AlAu5, optimized geometry, DFT PBE-GGA" space_group="Cm (8)" delta_e_f_kj_per_mol_fu=-468 e_tot_ev_per_atom=-3.5434 pbc="T T T"
Sr 4.613 2.316 0.000
Sr 4.613 -2.316 0.000
Al 6.937 0.000 1.920
Au 2.318 2.121 2.369
Au 0.202 0.000 2.379
Au 2.325 0.000 4.249
Au 2.318 -2.121 2.369
Au 4.444 0.000 2.371

---

Entry 3:
11
Lattice="11.786 -2.741 0.000 11.786 2.741 0.000 -0.693 0.000 9.514" Properties=species:S:1:pos:R:3 comment="Ba8Na2Ag, optimized geometry, DFT PBE-GGA" space_group="C2/m (12)" delta_e_f_kj_per_mol_fu=-3 e_tot_ev_per_atom=-1.9000 pbc="T T T"
Ba -0.012 0.000 2.113
Ba 4.759 0.000 3.302
Ba 7.802 0.000 9.239
Ba 9.190 0.000 4.446
Ba 13.689 0.000 5.067
Ba 15.077 0.000 0.275
Ba 18.120 0.000 6.211
Ba 22.892 0.000 7.400
Na 3.819 0.000 7.340
Na 19.061 0.000 2.174
Ag 11.786 0.000 0.000